# 1
Al2ZnCd2 after structural relaxation, computed with GGA-PBE.

Calculated values
Formation energy from the elements ... 0.231 eV/atom

Cell lengths 8.398, 8.398, 2.989 Å; angles 90.00, 90.00, 90.00 degrees
Element x y z (fractional)
Al  0.114  0.386  0.000
Al  0.386  0.886  0.000
Al  0.614  0.114  0.000
Al  0.886  0.614  0.000
Zn  0.000  0.000  0.500
Zn  0.500  0.500  0.500
Cd  0.184  0.684  0.500
Cd  0.316  0.184  0.500
Cd  0.684  0.816  0.500
Cd  0.816  0.316  0.500

=====

# 2
Al2ZnCd2 after structural relaxation, computed with GGA-PBE.

Calculated values
Formation energy from the elements ... 0.254 eV/atom

Cell lengths 7.837, 7.837, 3.414 Å; angles 90.00, 90.00, 90.00 degrees
Element x y z (fractional)
Al  0.119  0.381  0.000
Al  0.381  0.881  0.000
Al  0.619  0.119  0.000
Al  0.881  0.619  0.000
Zn  0.000  0.000  0.000
Zn  0.500  0.500  0.000
Cd  0.184  0.684  0.500
Cd  0.316  0.184  0.500
Cd  0.684  0.816  0.500
Cd  0.816  0.316  0.500

=====

Look up the formation energy from the elements of the second one.
0.254 eV/atom

=====

Copy entry 2 word for word.
Al2ZnCd2 after structural relaxation, computed with GGA-PBE.

Calculated values
Formation energy from the elements ... 0.254 eV/atom

Cell lengths 7.837, 7.837, 3.414 Å; angles 90.00, 90.00, 90.00 degrees
Element x y z (fractional)
Al  0.119  0.381  0.000
Al  0.381  0.881  0.000
Al  0.619  0.119  0.000
Al  0.881  0.619  0.000
Zn  0.000  0.000  0.000
Zn  0.500  0.500  0.000
Cd  0.184  0.684  0.500
Cd  0.316  0.184  0.500
Cd  0.684  0.816  0.500
Cd  0.816  0.316  0.500

=====

What is the formula in the second record?
Al2ZnCd2

=====

What is the formation energy from the elements in the second record?
0.254 eV/atom